1.
The following is a DFT calculation (GGA-PBE) of a relaxed Sc3Br crystal.

Cell and atoms, written as POSCAR:
```
Sc3Br
1.0
3.417 0.000 0.000
-1.709 2.959 0.000
0.000 0.000 9.274
Sc Br
3 1
Direct
0.000 0.000 0.000
0.667 0.333 0.267
0.667 0.333 0.733
0.000 0.000 0.500
```

Calculated values
* SG: P-6m2 (187)
* electronic total energy: -22.58 eV per cell
* crystal system: hexagonal


2.
The following is a DFT calculation (GGA-PBE) of a relaxed ScBr3 crystal.

Cell and atoms, written as POSCAR:
```
ScBr3
1.0
5.823 0.000 0.000
0.000 5.823 0.000
0.000 0.000 5.823
Sc Br
2 6
Direct
0.000 0.000 0.000
0.500 0.500 0.500
0.000 0.250 0.500
0.000 0.750 0.500
0.250 0.500 0.000
0.500 0.000 0.250
0.500 0.000 0.750
0.750 0.500 0.000
```

Calculated values
* SG: Pm-3n (223)
* electronic total energy: -28.34 eV per cell
* crystal system: cubic


3.
The following is a DFT calculation (GGA-PBE) of a relaxed Sc5Br crystal.

Cell and atoms, written as POSCAR:
```
Sc5Br
1.0
5.674 0.000 0.000
-2.837 4.914 0.000
0.000 0.000 5.051
Sc Br
5 1
Direct
0.000 0.680 0.000
0.320 0.320 0.000
0.333 0.667 0.500
0.667 0.333 0.500
0.680 0.000 0.000
0.000 0.000 0.500
```

Calculated values
* SG: P-62m (189)
* electronic total energy: -33.46 eV per cell
* crystal system: hexagonal


4.
The following is a DFT calculation (GGA-PBE) of a relaxed Sc3Br crystal.

Cell and atoms, written as POSCAR:
```
Sc3Br
1.0
7.279 0.000 0.000
0.000 7.279 0.000
0.000 0.000 7.279
Sc Br
12 4
Direct
0.000 0.000 0.000
0.000 0.500 0.500
0.250 0.250 0.250
0.250 0.250 0.750
0.250 0.750 0.250
0.250 0.750 0.750
0.500 0.000 0.500
0.500 0.500 0.000
0.750 0.250 0.250
0.750 0.250 0.750
0.750 0.750 0.250
0.750 0.750 0.750
0.000 0.000 0.500
0.000 0.500 0.000
0.500 0.000 0.000
0.500 0.500 0.500
```

Calculated values
* SG: Fm-3m (225)
* electronic total energy: -78.90 eV per cell
* crystal system: cubic


5.
The following is a DFT calculation (GGA-PBE) of a relaxed ScBr3 crystal.

Cell and atoms, written as POSCAR:
```
ScBr3
1.0
3.658 0.000 0.000
-1.829 3.168 0.000
0.000 0.000 9.883
Sc Br
1 3
Direct
0.000 0.000 0.000
0.000 0.000 0.500
0.333 0.667 0.175
0.333 0.667 0.825
```

Calculated values
* SG: P-6m2 (187)
* electronic total energy: -15.54 eV per cell
* crystal system: hexagonal


6.
The following is a DFT calculation (GGA-PBE) of a relaxed ScBr crystal.

Cell and atoms, written as POSCAR:
```
ScBr
1.0
3.585 0.000 0.000
-1.792 3.104 0.000
0.000 0.000 9.975
Sc Br
2 2
Direct
0.333 0.667 0.127
0.667 0.333 0.873
0.333 0.667 0.692
0.667 0.333 0.308
```

Calculated values
* SG: P-3m1 (164)
* electronic total energy: -20.29 eV per cell
* crystal system: trigonal


7.
The following is a DFT calculation (GGA-PBE) of a relaxed ScBr5 crystal.

Cell and atoms, written as POSCAR:
```
ScBr5
1.0
3.766 0.000 0.000
0.000 14.557 0.000
0.000 0.000 6.447
Sc Br
2 10
Direct
0.000 0.000 0.000
0.500 0.500 0.000
0.000 0.170 0.500
0.000 0.375 0.000
0.000 0.500 0.500
0.000 0.625 0.000
0.000 0.830 0.500
0.500 0.000 0.500
0.500 0.125 0.000
0.500 0.330 0.500
0.500 0.670 0.500
0.500 0.875 0.000
```

Calculated values
* SG: Cmmm (65)
* electronic total energy: -37.53 eV per cell
* crystal system: orthorhombic


8.
The following is a DFT calculation (GGA-PBE) of a relaxed ScBr crystal.

Cell and atoms, written as POSCAR:
```
ScBr
1.0
8.731 0.000 0.000
0.000 8.731 0.000
0.000 0.000 8.731
Sc Br
8 8
Direct
0.122 0.122 0.122
0.122 0.878 0.878
0.378 0.378 0.622
0.378 0.622 0.378
0.622 0.378 0.378
0.622 0.622 0.622
0.878 0.122 0.878
0.878 0.878 0.122
0.192 0.192 0.808
0.192 0.808 0.192
0.308 0.308 0.308
0.308 0.692 0.692
0.692 0.308 0.692
0.692 0.692 0.308
0.808 0.192 0.192
0.808 0.808 0.808
```

Calculated values
* SG: I-43m (217)
* electronic total energy: -72.54 eV per cell
* crystal system: cubic